{"formula": "TmThPtRh", "functional": "PBE-GGA", "state": "relaxed", "cell": [[3.805, 0.000, 0.000], [0.000, 4.329, 0.000], [-1.902, 0.000, 5.448]], "species": ["Th", "Tm", "Rh", "Pt"], "fractional_positions": [[0.865, 0.500, 0.730], [0.140, 0.000, 0.279], [0.404, 0.000, 0.808], [0.591, 0.500, 0.183]], "sg": "No. 38", "final_energy_ev_per_fu": -29.84, "dos_at_fermi_per_ev_atom": 0.7885}